Material: HfZr3Sb
Method: DFT, PBE-GGA
State: relaxed

Calculated values
The calculation puts the offset from the most stable computed form at 0.000 eV per atom. The total energy comes out at -0.60509 Ry/atom.

Cell and atoms, written as CIF:
```
data_HfZr3Sb
_chemical_formula_sum 'Hf4 Zr12 Sb4'
_cell_length_a 10.990
_cell_length_b 3.684
_cell_length_c 11.511
_cell_angle_alpha 90.00
_cell_angle_beta 94.63
_cell_angle_gamma 90.00
_space_group_name_H-M_alt 'C 1 2/m 1'
_space_group_IT_number 12
loop_
_space_group_symop_operation_xyz
'x,y,z'
'-x,-y,-z'
'-x,y,-z'
'x,-y,z'
'x+1/2,y+1/2,z'
'-x+1/2,-y+1/2,-z'
'-x+1/2,y+1/2,-z'
'x+1/2,-y+1/2,z'
loop_
_atom_site_label
_atom_site_type_symbol
_atom_site_fract_x
_atom_site_fract_y
_atom_site_fract_z
_atom_site_occupancy
Hf1 Hf 0.142 0.000 0.025 1
Zr1 Zr 0.010 0.500 0.829 1
Zr2 Zr 0.089 0.000 0.388 1
Zr3 Zr 0.235 0.000 0.776 1
Sb1 Sb 0.128 0.500 0.595 1
```